[1]
Density functional theory data (GGA-PBE) for a geometry-optimized Sc4Nb2Ge3C3 structure.

abc: 5.6666 5.6666 13.9868
angles: 101.89 101.89 60.16
With the nearest neighbours (Å) after each atom.
Element x y z (fractional)
C (0.0000, 0.5000, 0.0000)  2 Nb 2.15, 4 Sc 2.30
C (0.3392, 0.8216, 0.0001)  2 Nb 2.16, 4 Sc 2.29-2.30
C (0.1784, 0.6608, 0.4999)  2 Nb 2.16, 4 Sc 2.29-2.30
C (0.5000, 0.0000, 0.5000)  2 Nb 2.15, 4 Sc 2.30
C (0.8216, 0.3392, 0.5001)  2 Nb 2.16, 4 Sc 2.29-2.30
C (0.6608, 0.1784, 0.9999)  2 Nb 2.16, 4 Sc 2.29-2.30
Ge (0.7099, 0.5800, 0.2487)  2 Nb 2.83-2.84, 2 Ge 2.85-2.86, 4 Sc 2.91-2.95
Ge (0.1276, 0.8724, 0.2500)  2 Nb 2.81, 2 Ge 2.86, 4 Sc 2.91-2.92
Ge (0.4200, 0.2901, 0.2513)  2 Nb 2.83-2.84, 2 Ge 2.85-2.86, 4 Sc 2.91-2.95
Ge (0.5800, 0.7099, 0.7487)  2 Nb 2.83-2.84, 2 Ge 2.85-2.86, 4 Sc 2.91-2.95
Ge (0.8724, 0.1276, 0.7500)  2 Nb 2.81, 2 Ge 2.86, 4 Sc 2.91-2.92
Ge (0.2901, 0.4200, 0.7513)  2 Nb 2.83-2.84, 2 Ge 2.85-2.86, 4 Sc 2.91-2.95
Nb (0.3547, 0.5270, 0.0810)  3 C 2.15-2.16
Nb (0.4730, 0.6453, 0.4190)  3 C 2.15-2.16
Nb (0.5270, 0.3547, 0.5810)  3 C 2.15-2.16
Nb (0.6453, 0.4730, 0.9190)  3 C 2.15-2.16
Sc (0.0386, 0.1914, 0.0944)  3 C 2.29-2.30
Sc (0.6984, 0.8718, 0.0944)  3 C 2.30
Sc (0.1282, 0.3016, 0.4056)  3 C 2.30
Sc (0.8086, 0.9614, 0.4056)  3 C 2.29-2.30
Sc (0.1914, 0.0386, 0.5944)  3 C 2.29-2.30
Sc (0.8718, 0.6984, 0.5944)  3 C 2.30
Sc (0.3016, 0.1282, 0.9056)  3 C 2.30
Sc (0.9614, 0.8086, 0.9056)  3 C 2.29-2.30

Results
* DFT total energy: -190.59 eV per cell
* crystal system: monoclinic
* space-group type: C2/c, No. 15

***

[2]
Density functional theory data (GGA-PBE) for a geometry-optimized Nb4SiGeC2 structure.

abc: 3.2474 3.2474 12.5374
angles: 90.00 90.00 120.00
With the nearest neighbours (Å) after each atom.
Element x y z (fractional)
C (0.3333, 0.6667, 0.2526)  6 Nb 2.21-2.23
C (0.3333, 0.6667, 0.7474)  6 Nb 2.21-2.23
Ge (0.6667, 0.3333, 0.0000)  6 Nb 2.74
Nb (0.0000, 0.0000, 0.1589)  3 C 2.21
Nb (0.6667, 0.3333, 0.3483)  3 C 2.23
Nb (0.6667, 0.3333, 0.6517)  3 C 2.23
Nb (0.0000, 0.0000, 0.8411)  3 C 2.21
Si (0.0000, 0.0000, 0.5000)  6 Nb 2.67

Results
* DFT total energy: -73.08 eV per cell
* crystal system: hexagonal
* space-group type: P-6m2, No. 187

***

[3]
Density functional theory data (GGA-PBE) for a geometry-optimized Nb4SnGeC2 structure.

abc: 3.2588 3.2588 13.3456
angles: 90.00 90.00 120.00
With the nearest neighbours (Å) after each atom.
Element x y z (fractional)
C (0.3333, 0.6667, 0.2392)  6 Nb 2.21-2.22
C (0.3333, 0.6667, 0.7608)  6 Nb 2.21-2.22
Ge (0.0000, 0.0000, 0.0000)  6 Nb 2.75
Nb (0.6667, 0.3333, 0.1507)  3 C 2.22
Nb (0.0000, 0.0000, 0.3256)  3 C 2.21
Nb (0.0000, 0.0000, 0.6744)  3 C 2.21
Nb (0.6667, 0.3333, 0.8493)  3 C 2.22
Sn (0.6667, 0.3333, 0.5000)  6 Nb 2.99, 6 Sn 3.26

Results
* DFT total energy: -71.17 eV per cell
* crystal system: hexagonal
* space-group type: P-6m2, No. 187

***

[4]
Density functional theory data (GGA-PBE) for a geometry-optimized Ta2Nb4Ge3C3 structure.

abc: 5.6292 5.6292 13.0831
angles: 102.43 102.43 59.94
With the nearest neighbours (Å) after each atom.
Element x y z (fractional)
C (0.5000, 0.0000, 0.0000)  2 Ta 2.19, 4 Nb 2.22
C (0.8278, 0.3362, 0.0000)  2 Ta 2.19, 4 Nb 2.22-2.23
C (0.1722, 0.6638, 0.0000)  2 Ta 2.19, 4 Nb 2.22-2.23
C (0.3362, 0.8278, 0.5000)  2 Ta 2.19, 4 Nb 2.22-2.23
C (0.0000, 0.5000, 0.5000)  2 Ta 2.19, 4 Nb 2.22
C (0.6638, 0.1722, 0.5000)  2 Ta 2.19, 4 Nb 2.22-2.23
Ge (0.5839, 0.7469, 0.2495)  4 Nb 2.73-2.74, 2 Ta 2.74
Ge (0.9143, 0.0857, 0.2500)  4 Nb 2.73, 2 Ta 2.74
Ge (0.2531, 0.4161, 0.2505)  4 Nb 2.73-2.74, 2 Ta 2.74
Ge (0.7469, 0.5839, 0.7495)  4 Nb 2.73-2.74, 2 Ta 2.74
Ge (0.0857, 0.9143, 0.7500)  4 Nb 2.73, 2 Ta 2.74
Ge (0.4161, 0.2531, 0.7505)  4 Nb 2.73-2.74, 2 Ta 2.74
Nb (0.8669, 0.6979, 0.0933)  3 C 2.22-2.23
Nb (0.1954, 0.0334, 0.0934)  3 C 2.22-2.23
Nb (0.9666, 0.8046, 0.4066)  3 C 2.22-2.23
Nb (0.3021, 0.1331, 0.4067)  3 C 2.22-2.23
Nb (0.6979, 0.8669, 0.5933)  3 C 2.22-2.23
Nb (0.0334, 0.1954, 0.5934)  3 C 2.22-2.23
Nb (0.8046, 0.9666, 0.9066)  3 C 2.22-2.23
Nb (0.1331, 0.3021, 0.9067)  3 C 2.22-2.23
Ta (0.5306, 0.3616, 0.0913)  3 C 2.19
Ta (0.6384, 0.4694, 0.4087)  3 C 2.19
Ta (0.3616, 0.5306, 0.5913)  3 C 2.19
Ta (0.4694, 0.6384, 0.9087)  3 C 2.19

Results
* DFT total energy: -223.45 eV per cell
* crystal system: monoclinic
* space-group type: C2/c, No. 15

***

[5]
Density functional theory data (GGA-PBE) for a geometry-optimized Nb4Ge3W2C3 structure.

abc: 5.5864 5.5864 12.9946
angles: 102.34 102.34 59.94
With the nearest neighbours (Å) after each atom.
Element x y z (fractional)
C (0.6663, 0.1676, 0.0000)  2 W 2.15, 4 Nb 2.21-2.23
C (0.0000, 0.5000, 0.0000)  2 W 2.11, 4 Nb 2.23-2.24
C (0.3337, 0.8324, 0.0000)  2 W 2.15, 4 Nb 2.21-2.23
C (0.1676, 0.6663, 0.5000)  2 W 2.15, 4 Nb 2.21-2.23
C (0.5000, 0.0000, 0.5000)  2 W 2.11, 4 Nb 2.23-2.24
C (0.8324, 0.3337, 0.5000)  2 W 2.15, 4 Nb 2.21-2.23
Ge (0.4142, 0.2740, 0.2496)  2 W 2.70-2.75, 4 Nb 2.72-2.75, 2 Ge 3.00-3.02
Ge (0.1056, 0.8944, 0.2500)  2 W 2.71, 4 Nb 2.72-2.73, 2 Ge 3.00
Ge (0.7260, 0.5858, 0.2504)  2 W 2.70-2.75, 4 Nb 2.72-2.75, 2 Ge 3.00-3.02
Ge (0.2740, 0.4142, 0.7496)  2 W 2.70-2.75, 4 Nb 2.72-2.75, 2 Ge 3.00-3.02
Ge (0.8944, 0.1056, 0.7500)  2 W 2.71, 4 Nb 2.72-2.73, 2 Ge 3.00
Ge (0.5858, 0.7260, 0.7504)  2 W 2.70-2.75, 4 Nb 2.72-2.75, 2 Ge 3.00-3.02
Nb (0.0342, 0.1953, 0.0964)  3 C 2.21-2.23
Nb (0.6972, 0.8696, 0.0964)  3 C 2.21-2.24
Nb (0.1304, 0.3028, 0.4036)  3 C 2.21-2.24
Nb (0.8047, 0.9658, 0.4036)  3 C 2.21-2.23
Nb (0.1953, 0.0342, 0.5964)  3 C 2.21-2.23
Nb (0.8696, 0.6972, 0.5964)  3 C 2.21-2.24
Nb (0.3028, 0.1304, 0.9036)  3 C 2.21-2.24
Nb (0.9658, 0.8047, 0.9036)  3 C 2.21-2.23
W (0.3555, 0.5274, 0.0834)  3 C 2.11-2.15
W (0.4726, 0.6445, 0.4166)  3 C 2.11-2.15
W (0.5274, 0.3555, 0.5834)  3 C 2.11-2.15
W (0.6445, 0.4726, 0.9166)  3 C 2.11-2.15

Results
* DFT total energy: -223.38 eV per cell
* crystal system: monoclinic
* space-group type: C2/c, No. 15

***

[6]
Density functional theory data (GGA-PBE) for a geometry-optimized Y4Nb2Ge3C3 structure.

abc: 5.9796 5.9796 14.4209
angles: 102.51 102.51 60.38
With the nearest neighbours (Å) after each atom.
Element x y z (fractional)
C (0.5000, 0.0000, 0.0000)  2 Nb 2.21, 2 Y 2.47
C (0.8022, 0.3489, 0.0003)  2 Nb 2.16-2.17
C (0.6511, 0.1978, 0.4997)  2 Nb 2.16-2.17
C (0.0000, 0.5000, 0.5000)  2 Nb 2.21, 2 Y 2.47
C (0.3489, 0.8022, 0.5003)  2 Nb 2.16-2.17
C (0.1978, 0.6511, 0.9997)  2 Nb 2.16-2.17
Ge (0.5822, 0.6746, 0.2472)  2 Ge 2.66-2.68, 2 Nb 2.86-2.91
Ge (0.8361, 0.1639, 0.2500)  2 Ge 2.66, 2 Nb 2.85
Ge (0.3254, 0.4178, 0.2528)  2 Ge 2.66-2.68, 2 Nb 2.86-2.91
Ge (0.6746, 0.5822, 0.7472)  2 Ge 2.66-2.68, 2 Nb 2.86-2.91
Ge (0.1639, 0.8361, 0.7500)  2 Ge 2.66, 2 Nb 2.85
Ge (0.4178, 0.3254, 0.7528)  2 Ge 2.66-2.68, 2 Nb 2.86-2.91
Nb (0.5259, 0.3509, 0.0762)  3 C 2.16-2.21
Nb (0.6491, 0.4741, 0.4238)  3 C 2.16-2.21
Nb (0.3509, 0.5259, 0.5762)  3 C 2.16-2.21
Nb (0.4741, 0.6491, 0.9238)  3 C 2.16-2.21
Y (0.1932, 0.0444, 0.1020)  3 C 2.47-2.53
Y (0.8784, 0.7021, 0.1021)  3 C 2.48-2.52
Y (0.2979, 0.1216, 0.3979)  3 C 2.48-2.52
Y (0.9556, 0.8068, 0.3980)  3 C 2.47-2.53
Y (0.0444, 0.1932, 0.6020)  3 C 2.47-2.53
Y (0.7021, 0.8784, 0.6021)  3 C 2.48-2.52
Y (0.1216, 0.2979, 0.8979)  3 C 2.48-2.52
Y (0.8068, 0.9556, 0.8980)  3 C 2.47-2.53

Results
* DFT total energy: -189.76 eV per cell
* crystal system: monoclinic
* space-group type: C2/c, No. 15

***

[7]
Density functional theory data (GGA-PBE) for a geometry-optimized Nb4ZnGeC2 structure.

abc: 3.2017 3.2017 13.2486
angles: 90.00 90.00 120.00
With the nearest neighbours (Å) after each atom.
Element x y z (fractional)
C (0.3333, 0.6667, 0.2465)  6 Nb 2.18-2.22
C (0.3333, 0.6667, 0.7535)  6 Nb 2.18-2.22
Ge (0.0000, 0.0000, 0.0000)  6 Nb 2.75
Nb (0.6667, 0.3333, 0.1541)  3 C 2.22
Nb (0.0000, 0.0000, 0.3340)  3 C 2.18
Nb (0.0000, 0.0000, 0.6660)  3 C 2.18
Nb (0.6667, 0.3333, 0.8459)  3 C 2.22
Zn (0.6667, 0.3333, 0.5000)  6 Nb 2.87, 6 Zn 3.20

Results
* DFT total energy: -68.12 eV per cell
* crystal system: hexagonal
* space-group type: P-6m2, No. 187

***

[8]
Density functional theory data (GGA-PBE) for a geometry-optimized Nd5Ge3C structure.

abc: 8.8534 8.8534 6.7531
angles: 90.00 90.00 120.00
With the nearest neighbours (Å) after each atom.
Element x y z (fractional)
C (0.0000, 0.0000, 0.0000)  6 Nd 2.59
C (0.0000, 0.0000, 0.5000)  6 Nd 2.59
Ge (0.4114, 0.4114, 0.2500)  7 Nd 3.16-3.24
Ge (0.5886, 0.0000, 0.2500)  7 Nd 3.16-3.24
Ge (0.0000, 0.5886, 0.2500)  7 Nd 3.16-3.24
Ge (0.5886, 0.5886, 0.7500)  7 Nd 3.16-3.24
Ge (0.4114, 0.0000, 0.7500)  7 Nd 3.16-3.24
Ge (0.0000, 0.4114, 0.7500)  7 Nd 3.16-3.24
Nd (0.6667, 0.3333, 0.0000)  6 Ge 3.16, 2 Nd 3.38
Nd (0.3333, 0.6667, 0.0000)  6 Ge 3.16, 2 Nd 3.38
Nd (0.2223, 0.0000, 0.2500)  2 C 2.59
Nd (0.0000, 0.2223, 0.2500)  2 C 2.59
Nd (0.7777, 0.7777, 0.2500)  2 C 2.59
Nd (0.6667, 0.3333, 0.5000)  6 Ge 3.16, 2 Nd 3.38
Nd (0.3333, 0.6667, 0.5000)  6 Ge 3.16, 2 Nd 3.38
Nd (0.7777, 0.0000, 0.7500)  2 C 2.59
Nd (0.2223, 0.2223, 0.7500)  2 C 2.59
Nd (0.0000, 0.7777, 0.7500)  2 C 2.59

Results
* DFT total energy: -104.57 eV per cell
* crystal system: hexagonal
* space-group type: P6_3/mcm, No. 193

***

Table of volume (Å³/atom), in record order: 15.77 14.31 15.34 14.48 14.17 18.08 14.70 25.47